# 1
A geometry-optimized SrTc2Au2 structure, computed with GGA-PBE.

```
SrTc2Au2
1.0
-1.878 1.878 7.235
1.878 -1.878 7.235
1.878 1.878 -7.235
Sr Tc Au
1 2 2
Direct
0.000 0.000 0.000
0.250 0.750 0.500
0.750 0.250 0.500
0.398 0.398 0.000
0.602 0.602 0.000
```

## Properties
- Magnetic moment: 0.0 μB/f.u.
- SG: I4/mmm
- Raw total energy: -28.03 eV per cell
- Theoretical density: 11.03 g/cm3
- DOS(E_F): 3.91 states/eV per cell
- Formation energy from the elements: 0.189 eV/atom

***

# 2
A geometry-optimized SrTc2Au structure, computed with GGA-PBE.

```
SrTc2Au
1.0
-2.187 7.193 6.952
-1.792 4.953 8.781
0.498 6.522 7.878
Tc Sr Au
2 1 1
Direct
0.508 0.508 0.508
0.992 0.992 0.992
0.750 0.750 0.750
0.250 0.250 0.250
```

## Properties
- Magnetic moment: 0.0 μB/f.u.
- SG: R-3m
- Raw total energy: -21.66 eV per cell
- Theoretical density: 10.71 g/cm3
- Offset from the most stable computed form: 822 meV/atom
- DOS(E_F): 6.77 states/eV per cell
- Formation energy from the elements: 1.007 eV/atom

***

# 3
A geometry-optimized SrTc2Au structure, computed with GGA-PBE.

```
SrTc2Au
1.0
-3.239 -0.362 -0.491
0.802 -3.736 -2.540
-0.308 -2.904 4.174
Au Tc Sr
1 2 1
Direct
0.500 0.000 0.500
0.500 0.500 0.000
0.000 0.000 0.000
0.000 0.500 0.500
```

## Properties
- Magnetic moment: 0.0 μB/f.u.
- SG: Pmmm
- Raw total energy: -22.85 eV per cell
- Theoretical density: 10.36 g/cm3
- Offset from the most stable computed form: 526 meV/atom
- DOS(E_F): 4.49 states/eV per cell
- Formation energy from the elements: 0.711 eV/atom

***

# 4
A geometry-optimized SrTeAu2 structure, computed with GGA-PBE.

```
SrTeAu2
1.0
-0.042 -5.662 -3.805
3.068 -2.921 -5.348
2.436 -0.726 3.620
Te Au Sr
1 2 1
Direct
0.812 0.812 0.438
0.953 0.953 0.078
0.172 0.172 0.297
0.563 0.563 0.688
```

## Properties
- Magnetic moment: 0.0 μB/f.u.
- SG: I-4m2
- Raw total energy: -14.06 eV per cell
- Theoretical density: 8.52 g/cm3
- DOS(E_F): 0.15 states/eV per cell
- E_form (uncorrected): -15.5 kcal/mol of atoms

***

# 5
A geometry-optimized Sr2TeAu structure, computed with GGA-PBE.

```
Sr2TeAu
1.0
-1.594 -4.261 -1.035
-0.014 -3.349 3.249
-7.515 -0.424 2.861
Au Sr Te
1 2 1
Direct
0.750 0.750 0.750
0.004 0.004 0.988
0.496 0.496 0.512
0.250 0.250 0.250
```

## Properties
- Magnetic moment: 0.0 μB/f.u.
- SG: C2/m
- Raw total energy: -14.35 eV per cell
- Theoretical density: 5.80 g/cm3
- DOS(E_F): 2.30 states/eV per cell
- E_form (uncorrected): -26.3 kcal/mol of atoms

***

# 6
A geometry-optimized Sr2TeAu structure, computed with GGA-PBE.

```
Sr2TeAu
1.0
-4.835 -1.569 -4.973
-0.534 -6.178 -3.481
0.690 2.754 6.520
Sr Au Te
2 1 1
Direct
0.000 0.000 0.000
0.250 0.750 0.500
0.750 0.250 0.500
0.500 0.500 0.000
```

## Properties
- Magnetic moment: 0.0 μB/f.u.
- SG: I-4m2
- Raw total energy: -13.52 eV per cell
- Theoretical density: 6.25 g/cm3
- DOS(E_F): 2.22 states/eV per cell
- E_form (uncorrected): -21.6 kcal/mol of atoms

***

Q: Which value of DOS(E_F) does entry 4 give?
A: 0.15 states/eV per cell